<i>
The following is a DFT calculation (PBE) of a relaxed structure of PmTm4In.

Cell lengths 8.6400, 8.6400, 8.6400 Å; angles 98.83, 98.83, 133.87 degrees
Fractional coordinates of all 12 atoms:
Pm1 0.0000 0.0000 0.0000
Pm2 0.7500 0.2500 0.5000
Tm1 0.4029 0.1612 0.2417
Tm2 0.4107 0.1537 0.7430
Tm3 0.4107 0.6677 0.2570
Tm4 0.4177 0.6607 0.7570
Tm5 0.9037 0.6607 0.2430
Tm6 0.9112 0.1695 0.2583
Tm7 0.9112 0.6529 0.7417
Tm8 0.9195 0.1612 0.7583
In1 0.2422 0.7422 0.5000
In2 0.4922 0.4922 0.0000

As for the space group: I4_1md (109).

***

<ii>
The following is a DFT calculation (PBE) of a relaxed structure of PmTm4In.

Cell lengths 3.5471, 3.5471, 14.0887 Å; angles 90.00, 90.00, 90.00 degrees
Fractional coordinates of all 6 atoms:
Pm1 0.0000 0.0000 0.0000
Tm1 0.0000 0.0000 0.3527
Tm2 0.0000 0.0000 0.6473
Tm3 0.5000 0.5000 0.1795
Tm4 0.5000 0.5000 0.8205
In1 0.5000 0.5000 0.5000

As for the space group: P4/mmm (123).

***

In kJ/mol of atoms, relative to the most stable structure: <i> 62.7; <ii> 0.0.

***

<i>
The following is a DFT calculation (PBE) of a relaxed structure of PmTm3In2.

Cell lengths 8.8925, 3.4874, 22.0639 Å; angles 90.00, 90.00, 90.00 degrees
Fractional coordinates of all 24 atoms:
Pm1 0.1595 0.2500 0.1609
Pm2 0.3405 0.7500 0.6609
Pm3 0.6595 0.2500 0.3391
Pm4 0.8405 0.7500 0.8391
Tm1 0.0399 0.2500 0.4232
Tm2 0.1086 0.2500 0.9366
Tm3 0.2127 0.7500 0.8040
Tm4 0.2873 0.2500 0.3040
Tm5 0.3914 0.7500 0.4366
Tm6 0.4601 0.7500 0.9232
Tm7 0.5399 0.2500 0.0768
Tm8 0.6086 0.2500 0.5634
Tm9 0.7127 0.7500 0.6960
Tm10 0.7873 0.2500 0.1960
Tm11 0.8914 0.7500 0.0634
Tm12 0.9601 0.7500 0.5768
In1 0.0200 0.2500 0.7093
In2 0.2468 0.2500 0.5407
In3 0.2532 0.7500 0.0407
In4 0.4800 0.7500 0.2093
In5 0.5200 0.2500 0.7907
In6 0.7468 0.2500 0.9593
In7 0.7532 0.7500 0.4593
In8 0.9800 0.7500 0.2907

As for the space group: Pnma (62).

***

<ii>
The following is a DFT calculation (PBE) of a relaxed structure of PmTm3In2.

Cell lengths 8.5055, 8.5055, 9.1708 Å; angles 117.89, 117.89, 36.57 degrees
Fractional coordinates of all 12 atoms:
Pm1 0.1319 0.1319 0.1690
Pm2 0.8681 0.8681 0.8310
Tm1 0.0597 0.0597 0.7145
Tm2 0.3073 0.3073 0.0107
Tm3 0.3849 0.3849 0.4562
Tm4 0.6151 0.6151 0.5438
Tm5 0.6927 0.6927 0.9893
Tm6 0.9403 0.9403 0.2855
In1 0.2264 0.2264 0.5945
In2 0.4797 0.4797 0.8303
In3 0.5203 0.5203 0.1697
In4 0.7736 0.7736 0.4055

As for the space group: C2/m (12).

***

In kJ/mol of atoms, relative to the most stable structure: <i> 0.0; <ii> 3.3.